{"formula": "La2AgRh", "functional": "GGA-PBEsol", "state": "relaxed", "cell": [[-0.564, -0.105, -3.567], [3.556, -0.317, -0.553], [-0.603, -7.313, 0.310]], "species": ["Rh", "Ag", "La", "La"], "frac_coords": [[0.500, 0.500, 0.000], [0.500, 0.500, 0.500], [0.000, 0.000, 0.774], [0.000, 0.000, 0.226]], "ef_mev_per_atom": -428, "n_ef_per_ev_cell": 3.4, "spacegroup": "P4/mmm, No. 123", "e_tot_ev_per_atom": -5.964, "rho_kg_m3": 8462}